(1)
Computed, not measured: a geometry-optimized SiTe2Au structure at the PBE-GGA level of DFT.

Cell and atoms, written as CIF:
```
data_SiTe2Au
_space_group_name_H-M_alt 'P 4 m m'
_space_group_IT_number 99
_space_group_name_Hall 'P 4 -2'
_cell_length_a 3.181
_cell_length_b 3.181
_cell_length_c 9.960
_cell_angle_alpha 90.00
_cell_angle_beta 90.00
_cell_angle_gamma 90.00
loop_
_atom_site_label
_atom_site_fract_x
_atom_site_fract_y
_atom_site_fract_z
Si1 0.000 0.000 0.000
Te1 0.000 0.000 0.607
Te2 0.500 0.500 0.230
Au1 0.500 0.500 0.853
```

Computed properties:
Formation energy from raw total energies: 301 meV per atom
Crystal system: tetragonal


(2)
Computed, not measured: a geometry-optimized CsUTiS4 structure at the PBE-GGA level of DFT.

Cell and atoms, written as CIF:
```
data_CsUTiS4
_space_group_name_H-M_alt 'P 1 21/m 1'
_space_group_IT_number 11
_space_group_name_Hall '-P 2yb'
_cell_length_a 6.616
_cell_length_b 6.744
_cell_length_c 9.662
_cell_angle_alpha 90.00
_cell_angle_beta 109.21
_cell_angle_gamma 90.00
loop_
_atom_site_label
_atom_site_fract_x
_atom_site_fract_y
_atom_site_fract_z
Cs1 0.226 0.250 0.440
U1 0.284 0.250 0.953
Ti1 0.270 0.750 0.158
S1 0.045 0.750 0.927
S2 0.063 0.750 0.305
S3 0.488 0.507 0.812
```

Computed properties:
Formation energy from raw total energies: -1356 meV per atom
Crystal system: monoclinic


(3)
Computed, not measured: a geometry-optimized Dy3Er6In structure at the PBE-GGA level of DFT.

Cell and atoms, written as CIF:
```
data_Dy3Er6In
_space_group_name_H-M_alt 'P 1 21/m 1'
_space_group_IT_number 11
_space_group_name_Hall '-P 2yb'
_cell_length_a 12.765
_cell_length_b 3.513
_cell_length_c 14.285
_cell_angle_alpha 90.00
_cell_angle_beta 108.38
_cell_angle_gamma 90.00
loop_
_atom_site_label
_atom_site_fract_x
_atom_site_fract_y
_atom_site_fract_z
Dy1 0.009 0.250 0.397
Dy2 0.377 0.250 0.997
Dy3 0.468 0.250 0.592
Er1 0.138 0.750 0.022
Er2 0.144 0.250 0.808
Er3 0.218 0.250 0.599
Er4 0.253 0.750 0.394
Er5 0.335 0.250 0.217
Er6 0.385 0.750 0.789
In1 0.077 0.250 0.196
```

Computed properties:
Crystal system: monoclinic
E above lowest polymorph: 0.942 kcal/mol of atoms
Formation energy: -0.0315 eV per atom